(1)
A plane-wave DFT calculation with meta-GGA SCAN was carried out for a crystal of Ni2PtCl relaxed with PBEsol.

The structure in POSCAR format:
```
Ni2PtCl
1.0
2.7959 -0.1263 0.0000
-1.3188 2.4686 0.0000
0.0000 0.0000 7.8984
Ni Pt Cl
2 1 1
Direct
0.0000 0.0000 0.2339
0.0000 0.0000 0.7661
0.5000 0.5000 0.5000
0.5000 0.5000 0.0000
```

## Properties
- Crystal system: orthorhombic
- M_tot: 0.55 μB/atom
- Space-group type: Cmmm
- Formation energy without anion corrections: 0.21 eV/atom
- Density of states at the Fermi level: 2.45 states/eV per cell
- Excess energy over the best structure of this formula in the dataset: 0 meV/atom



(2)
A plane-wave DFT calculation with meta-GGA SCAN was carried out for a crystal of NiPt2Cl relaxed with PBEsol.

The structure in POSCAR format:
```
NiPt2Cl
1.0
-2.5683 -0.3070 0.9742
1.6628 -2.5100 3.5929
0.9129 5.1280 0.1020
Pt Cl Ni
2 1 1
Direct
0.9724 0.9724 0.9448
0.7488 0.2488 0.4975
0.5407 0.5407 0.0814
0.2381 0.7381 0.4763
```

## Properties
- Crystal system: orthorhombic
- M_tot: 0.32 μB/atom
- Space-group type: Imm2
- Formation energy without anion corrections: 0.48 eV/atom
- Density of states at the Fermi level: 3.08 states/eV per cell
- Excess energy over the best structure of this formula in the dataset: 235 meV/atom



(3)
A plane-wave DFT calculation with meta-GGA SCAN was carried out for a crystal of NiPt2Cl relaxed with PBEsol.

The structure in POSCAR format:
```
NiPt2Cl
1.0
-0.6973 -2.2610 1.7232
2.1105 -1.5365 1.3241
0.1041 3.5710 7.2135
Ni Pt Cl
1 2 1
Direct
0.0000 0.0000 0.0000
0.7433 0.7433 0.7702
0.2567 0.2567 0.2298
0.5000 0.5000 0.5000
```

## Properties
- Crystal system: trigonal
- M_tot: 0.00 μB/atom
- Space-group type: R-3m
- Formation energy without anion corrections: 0.26 eV/atom
- Density of states at the Fermi level: 1.42 states/eV per cell
- Excess energy over the best structure of this formula in the dataset: 17 meV/atom



(4)
A plane-wave DFT calculation with meta-GGA SCAN was carried out for a crystal of NiPt2Cl relaxed with PBEsol.

The structure in POSCAR format:
```
NiPt2Cl
1.0
-1.1784 -2.4480 -0.6815
0.3635 -0.9058 2.6254
-6.7805 2.7395 1.8838
Cl Ni Pt
1 1 2
Direct
0.0000 0.0000 0.5532
0.5000 0.5000 0.7479
0.0000 0.0000 0.9733
0.5000 0.5000 0.2256
```

## Properties
- Crystal system: tetragonal
- M_tot: 0.53 μB/atom
- Space-group type: P4mm
- Formation energy without anion corrections: 0.25 eV/atom
- Density of states at the Fermi level: 2.57 states/eV per cell
- Excess energy over the best structure of this formula in the dataset: 0 meV/atom



(5)
A plane-wave DFT calculation with meta-GGA SCAN was carried out for a crystal of RbNiCl3 relaxed with PBEsol.

The structure in POSCAR format:
```
RbNiCl3
1.0
5.8090 0.0000 0.0000
0.0000 6.8584 0.0000
0.0000 -3.4292 5.9396
Cl Rb Ni
6 2 2
Direct
0.2500 0.8430 0.6860
0.7500 0.1570 0.8430
0.7500 0.6860 0.8430
0.7500 0.1570 0.3140
0.2500 0.8430 0.1570
0.2500 0.3140 0.1570
0.2500 0.3333 0.6667
0.7500 0.6667 0.3333
0.5000 0.0000 0.0000
0.0000 0.0000 0.0000
```

## Properties
- Crystal system: hexagonal
- M_tot: 0.40 μB/atom
- Space-group type: P6_3/mmc
- Formation energy without anion corrections: -1.56 eV/atom
- Density of states at the Fermi level: 0.00 states/eV per cell



(6)
A plane-wave DFT calculation with meta-GGA SCAN was carried out for a crystal of ReNi2Cl relaxed with PBEsol.

The structure in POSCAR format:
```
ReNi2Cl
1.0
2.6947 0.0000 0.0000
0.0000 4.3009 0.0000
0.0000 0.0000 4.3708
Ni Re Cl
2 1 1
Direct
0.0000 0.0000 0.0000
0.5000 0.5000 0.0000
0.5000 0.0000 0.5000
0.0000 0.5000 0.5000
```

## Properties
- Crystal system: orthorhombic
- M_tot: 0.56 μB/atom
- Space-group type: Pmmm
- Formation energy without anion corrections: 0.91 eV/atom
- Density of states at the Fermi level: 2.81 states/eV per cell
- Excess energy over the best structure of this formula in the dataset: 340 meV/atom



(7)
A plane-wave DFT calculation with meta-GGA SCAN was carried out for a crystal of Re2NiCl relaxed with PBEsol.

The structure in POSCAR format:
```
Re2NiCl
1.0
2.7497 0.0000 0.0000
-1.3749 2.3580 0.0000
0.0000 0.0000 8.6938
Ni Re Cl
1 2 1
Direct
0.5000 0.0000 0.0000
0.0000 0.0000 0.2419
0.0000 0.0000 0.7581
0.5000 0.0000 0.5000
```

## Properties
- Crystal system: orthorhombic
- M_tot: 0.00 μB/atom
- Space-group type: Cmmm
- Formation energy without anion corrections: 0.88 eV/atom
- Density of states at the Fermi level: 4.72 states/eV per cell
- Excess energy over the best structure of this formula in the dataset: 0 meV/atom



(8)
A plane-wave DFT calculation with meta-GGA SCAN was carried out for a crystal of ReNiCl relaxed with PBEsol.

The structure in POSCAR format:
```
ReNiCl
1.0
4.0859 0.0000 0.0000
2.0430 3.5385 0.0000
2.0430 1.1795 3.3361
Ni Re Cl
1 1 1
Direct
0.2500 0.2500 0.2500
0.0000 0.0000 0.0000
0.5000 0.5000 0.5000
```

## Properties
- Crystal system: cubic
- M_tot: 1.15 μB/atom
- Space-group type: F-43m
- Formation energy without anion corrections: 1.71 eV/atom
- Density of states at the Fermi level: 2.28 states/eV per cell



(9)
A plane-wave DFT calculation with meta-GGA SCAN was carried out for a crystal of ReNi2Cl relaxed with PBEsol.

The structure in POSCAR format:
```
ReNi2Cl
1.0
4.1088 0.0000 0.0000
2.0544 3.5583 0.0000
2.0544 1.1861 3.3548
Ni Re Cl
2 1 1
Direct
0.7500 0.7500 0.7500
0.0000 0.0000 0.0000
0.5000 0.5000 0.5000
0.2500 0.2500 0.2500
```

## Properties
- Crystal system: cubic
- M_tot: 0.00 μB/atom
- Space-group type: F-43m
- Formation energy without anion corrections: 0.93 eV/atom
- Density of states at the Fermi level: 2.56 states/eV per cell
- Excess energy over the best structure of this formula in the dataset: 365 meV/atom



(10)
A plane-wave DFT calculation with meta-GGA SCAN was carried out for a crystal of Re2NiCl relaxed with PBEsol.

The structure in POSCAR format:
```
Re2NiCl
1.0
4.2938 0.0000 0.0000
2.1469 3.7185 0.0000
2.1469 1.2395 3.5058
Re Ni Cl
2 1 1
Direct
0.7500 0.7500 0.7500
0.0000 0.0000 0.0000
0.2500 0.2500 0.2500
0.5000 0.5000 0.5000
```

## Properties
- Crystal system: cubic
- M_tot: 0.00 μB/atom
- Space-group type: F-43m
- Formation energy without anion corrections: 1.13 eV/atom
- Density of states at the Fermi level: 2.53 states/eV per cell
- Excess energy over the best structure of this formula in the dataset: 243 meV/atom



(11)
A plane-wave DFT calculation with meta-GGA SCAN was carried out for a crystal of Re3NiCl relaxed with PBEsol.

The structure in POSCAR format:
```
Re3NiCl
1.0
4.4765 0.0000 0.0000
0.0000 4.4765 0.0000
0.0000 0.0000 4.4765
Cl Re Ni
1 3 1
Direct
0.5000 0.5000 0.5000
0.0000 0.0000 0.5000
0.5000 0.0000 0.0000
0.0000 0.5000 0.0000
0.0000 0.0000 0.0000
```

## Properties
- Crystal system: cubic
- M_tot: 0.96 μB/atom
- Space-group type: Pm-3m
- Formation energy without anion corrections: 2.40 eV/atom
- Density of states at the Fermi level: 5.57 states/eV per cell



(12)
A plane-wave DFT calculation with meta-GGA SCAN was carried out for a crystal of ReNi2Cl relaxed with PBEsol.

The structure in POSCAR format:
```
ReNi2Cl
1.0
2.6966 0.0000 -0.0818
0.0000 3.8848 0.0000
-1.1722 0.0000 5.0471
Ni Re Cl
2 1 1
Direct
0.0544 0.0000 0.9950
0.9264 0.5000 0.7283
0.3383 0.0000 0.5496
0.1808 0.5000 0.2270
```

## Properties
- Crystal system: monoclinic
- M_tot: 0.00 μB/atom
- Space-group type: Pm
- Formation energy without anion corrections: 0.57 eV/atom
- Density of states at the Fermi level: 2.74 states/eV per cell
- Excess energy over the best structure of this formula in the dataset: 0 meV/atom



(13)
A plane-wave DFT calculation with meta-GGA SCAN was carried out for a crystal of ReNi2SbCl relaxed with PBEsol.

The structure in POSCAR format:
```
ReNi2SbCl
1.0
-0.6350 2.5430 3.0242
-3.8791 -0.9837 0.0127
1.0165 -3.9627 3.5456
Sb Re Ni Cl
1 1 2 1
Direct
0.0000 0.0000 0.5000
0.5000 0.5000 0.5000
0.0000 0.5000 0.0000
0.5000 0.0000 0.0000
0.0000 0.0000 0.0000
```

## Properties
- Crystal system: tetragonal
- M_tot: 0.59 μB/atom
- Space-group type: P4/mmm
- Formation energy without anion corrections: 1.32 eV/atom
- Density of states at the Fermi level: 2.87 states/eV per cell



(14)
A plane-wave DFT calculation with meta-GGA SCAN was carried out for a crystal of TaReNiCl2 relaxed with PBEsol.

The structure in POSCAR format:
```
TaReNiCl2
1.0
4.1250 0.0000 0.0000
0.0000 4.1250 0.0000
0.0000 0.0000 5.1510
Ni Cl Ta Re
1 2 1 1
Direct
0.0000 0.0000 0.0000
0.0000 0.5000 0.0000
0.5000 0.0000 0.0000
0.5000 0.5000 0.5000
0.0000 0.0000 0.5000
```

## Properties
- Crystal system: tetragonal
- M_tot: 0.15 μB/atom
- Space-group type: P4/mmm
- Formation energy without anion corrections: 1.27 eV/atom
- Density of states at the Fermi level: 4.11 states/eV per cell



(15)
A plane-wave DFT calculation with meta-GGA SCAN was carried out for a crystal of TaReNi2Cl relaxed with PBEsol.

The structure in POSCAR format:
```
TaReNi2Cl
1.0
4.4514 0.0000 0.0000
0.0000 4.5290 0.0000
0.0000 0.0000 4.5290
Cl Ni Re Ta
1 2 1 1
Direct
0.5000 0.0000 0.0000
0.0000 0.0000 0.5000
0.0000 0.5000 0.0000
0.5000 0.5000 0.5000
0.0000 0.0000 0.0000
```

## Properties
- Crystal system: tetragonal
- M_tot: 0.58 μB/atom
- Space-group type: P4/mmm
- Formation energy without anion corrections: 1.76 eV/atom
- Density of states at the Fermi level: 4.02 states/eV per cell



(16)
A plane-wave DFT calculation with meta-GGA SCAN was carried out for a crystal of NiRhCl2 relaxed with PBEsol.

The structure in POSCAR format:
```
NiRhCl2
1.0
4.2801 0.0000 0.0000
2.1400 3.7067 0.0000
2.1400 1.2356 3.4947
Cl Rh Ni
2 1 1
Direct
0.7500 0.7500 0.7500
0.2500 0.2500 0.2500
0.0000 0.0000 0.0000
0.5000 0.5000 0.5000
```

## Properties
- Crystal system: cubic
- M_tot: 0.07 μB/atom
- Space-group type: Fm-3m
- Formation energy without anion corrections: 0.53 eV/atom
- Density of states at the Fermi level: 5.00 states/eV per cell
- Excess energy over the best structure of this formula in the dataset: 598 meV/atom



(17)
A plane-wave DFT calculation with meta-GGA SCAN was carried out for a crystal of NiRhCl2 relaxed with PBEsol.

The structure in POSCAR format:
```
NiRhCl2
1.0
-2.7657 -1.6056 -1.5085
-1.0936 -1.7798 3.8994
-1.7751 3.9386 -0.9377
Ni Rh Cl
1 1 2
Direct
0.0000 0.4944 0.5057
0.5000 0.2646 0.7352
0.5000 0.7004 0.2995
0.0000 0.0406 0.9596
```

## Properties
- Crystal system: orthorhombic
- M_tot: 0.00 μB/atom
- Space-group type: Amm2
- Formation energy without anion corrections: -0.07 eV/atom
- Density of states at the Fermi level: 1.79 states/eV per cell
- Excess energy over the best structure of this formula in the dataset: 0 meV/atom



(18)
A plane-wave DFT calculation with meta-GGA SCAN was carried out for a crystal of NiRhCl relaxed with PBEsol.

The structure in POSCAR format:
```
NiRhCl
1.0
-1.7705 2.5606 2.5925
-0.0446 -0.8386 3.9633
2.2627 2.1801 2.5574
Rh Ni Cl
1 1 1
Direct
0.0000 0.0000 0.0000
0.2500 0.2500 0.2500
0.5000 0.5000 0.5000
```

## Properties
- Crystal system: cubic
- M_tot: 0.72 μB/atom
- Space-group type: F-43m
- Formation energy without anion corrections: 0.67 eV/atom
- Density of states at the Fermi level: 2.23 states/eV per cell



(19)
A plane-wave DFT calculation with meta-GGA SCAN was carried out for a crystal of NiRhS2Cl relaxed with PBEsol.

The structure in POSCAR format:
```
NiRhS2Cl
1.0
-1.0679 3.0003 3.2086
-3.7356 -2.3576 0.9613
2.3978 -2.5150 3.1499
Cl S Rh Ni
1 2 1 1
Direct
0.0000 0.0000 0.5000
0.5000 0.0000 0.0000
0.0000 0.5000 0.0000
0.0000 0.0000 0.0000
0.5000 0.5000 0.5000
```

## Properties
- Crystal system: tetragonal
- M_tot: 0.57 μB/atom
- Space-group type: P4/mmm
- Formation energy without anion corrections: 0.52 eV/atom
- Density of states at the Fermi level: 3.66 states/eV per cell



(20)
A plane-wave DFT calculation with meta-GGA SCAN was carried out for a crystal of NiRu2Cl relaxed with PBEsol.

The structure in POSCAR format:
```
NiRu2Cl
1.0
2.7989 0.0000 0.0000
0.0000 4.2541 0.0000
0.0000 0.0000 4.2541
Ni Ru Cl
1 2 1
Direct
0.5000 0.0000 0.0000
0.0000 0.0000 0.5000
0.0000 0.5000 0.0000
0.5000 0.5000 0.5000
```

## Properties
- Crystal system: tetragonal
- M_tot: 0.00 μB/atom
- Space-group type: P4/mmm
- Formation energy without anion corrections: 0.86 eV/atom
- Density of states at the Fermi level: 4.30 states/eV per cell
- Excess energy over the best structure of this formula in the dataset: 435 meV/atom